# 1
Material: TmHf3Zr4N8
Method: DFT, PBE
State: optimized geometry

Calculated values
M_tot, μB per cell: 0.00
D(E_F), states/eV/cell: 18.17
Formation energy from raw total energies, kJ/mol of atoms: -167.6

Cell: 6.5035 6.5035 16.0221 Å, 90.00 90.00 120.00°
Space group R-3m (No. 166, hexagonal axes)
One atom of each set of equivalent atoms:
Tm (0.0000, 0.0000, 0.0000) [3 per cell]
Hf (0.0000, 0.5000, 0.0000) [9 per cell]
Zr (0.0000, 0.0000, 0.5000) [3 per cell]
Zr (0.0000, 0.5000, 0.5000) [9 per cell]
N (0.0000, 0.0000, 0.2550) [6 per cell]
N (0.0091, 0.5046, 0.2526) [18 per cell]

# 2
Material: TmHf2Zr3N6
Method: DFT, PBE
State: optimized geometry

Calculated values
M_tot, μB per cell: 0.00
D(E_F), states/eV/cell: 5.68
Formation energy from raw total energies, kJ/mol of atoms: -168.7

Cell: 14.2284 3.2501 6.5585 Å, 90.00 103.38 90.00°
Space group C2/m (No. 12)
One atom of each set of equivalent atoms:
Tm (0.0000, 0.0000, 0.0000) [2 per cell]
Hf (0.1666, 0.5000, 0.3338) [4 per cell]
Zr (0.0000, 0.0000, 0.5000) [2 per cell]
Zr (0.1659, 0.5000, 0.8317) [4 per cell]
N (0.0042, 0.5000, 0.2564) [4 per cell]
N (0.1688, 0.0000, 0.0933) [4 per cell]
N (0.1694, 0.0000, 0.5758) [4 per cell]

# 3
Material: Tm3HfZr2N6
Method: DFT, PBE
State: optimized geometry

Calculated values
M_tot, μB per cell: 0.00
D(E_F), states/eV/cell: 6.32
Formation energy from raw total energies, kJ/mol of atoms: -174.5

Cell: 5.7277 9.9023 5.7625 Å, 90.00 109.40 90.00°
Space group C2/m (No. 12)
One atom of each set of equivalent atoms:
Tm (0.0000, 0.0000, 0.0000) [2 per cell]
Tm (0.0000, 0.3329, 0.0000) [4 per cell]
Hf (0.0000, 0.5000, 0.5000) [2 per cell]
Zr (0.0000, 0.1662, 0.5000) [4 per cell]
N (0.2427, 0.3362, 0.7373) [8 per cell]
N (0.2484, 0.5000, 0.2627) [4 per cell]

# 4
Material: Tm3Hf2ZrN6
Method: DFT, PBE
State: optimized geometry

Calculated values
M_tot, μB per cell: 0.00
D(E_F), states/eV/cell: 5.93
Formation energy from raw total energies, kJ/mol of atoms: -176.4

Cell: 5.7078 9.8710 5.7466 Å, 90.00 109.38 90.00°
Space group C2/m (No. 12)
One atom of each set of equivalent atoms:
Tm (0.0000, 0.0000, 0.0000) [2 per cell]
Tm (0.0000, 0.3339, 0.0000) [4 per cell]
Hf (0.0000, 0.1672, 0.5000) [4 per cell]
Zr (0.0000, 0.5000, 0.5000) [2 per cell]
N (0.2387, 0.0000, 0.7345) [4 per cell]
N (0.2479, 0.3303, 0.7348) [8 per cell]

# 5
Material: Tm2Hf3ZrN6
Method: DFT, PBE
State: optimized geometry

Calculated values
M_tot, μB per cell: 0.00
D(E_F), states/eV/cell: 7.81
Formation energy from raw total energies, kJ/mol of atoms: -174.1

Cell: 5.6555 9.7923 5.6955 Å, 90.00 109.46 90.00°
Space group C2/m (No. 12)
One atom of each set of equivalent atoms:
Tm (0.0000, 0.1667, 0.0000) [4 per cell]
Hf (0.0000, 0.0000, 0.5000) [2 per cell]
Hf (0.0000, 0.3326, 0.5000) [4 per cell]
Zr (0.0000, 0.5000, 0.0000) [2 per cell]
N (0.2433, 0.5000, 0.7309) [4 per cell]
N (0.2455, 0.1663, 0.7353) [8 per cell]

# 6
Material: Hf2UN3
Method: DFT, PBE
State: optimized geometry

Calculated values
M_tot, μB per cell: 1.85
D(E_F), states/eV/cell: 17.60
Formation energy from raw total energies, kJ/mol of atoms: -155.2

Cell: 6.5671 4.6593 9.8497 Å, 90.00 90.00 90.00°
Space group Pnma (No. 62)
One atom of each set of equivalent atoms:
Hf (0.1193, 0.2500, 0.2461) [4 per cell]
Hf (0.1246, 0.2500, 0.9160) [4 per cell]
U (0.1266, 0.2500, 0.5822) [4 per cell]
N (0.1227, 0.7500, 0.9151) [4 per cell]
N (0.1253, 0.7500, 0.2495) [4 per cell]
N (0.1352, 0.7500, 0.5883) [4 per cell]

# 7
Material: Hf4UN6
Method: DFT, PBE
State: optimized geometry

Calculated values
M_tot, μB per cell: 5.40
D(E_F), states/eV/cell: 19.02
Formation energy from raw total energies, kJ/mol of atoms: -161.3

Cell: 3.1927 10.6419 15.9265 Å, 90.00 90.00 90.00°
Space group Cmcm (No. 63)
One atom of each set of equivalent atoms:
Hf (0.0000, 0.0973, 0.1326) [8 per cell]
Hf (0.0000, 0.3633, 0.0466) [8 per cell]
U (0.0000, 0.1583, 0.7500) [4 per cell]
N (0.0000, 0.0000, 0.0000) [4 per cell]
N (0.0000, 0.1924, 0.2500) [4 per cell]
N (0.0000, 0.2689, 0.5870) [8 per cell]
N (0.0000, 0.4617, 0.1640) [8 per cell]

# 8
Material: HfU3N4
Method: DFT, PBE
State: optimized geometry

Calculated values
M_tot, μB per cell: 7.56
D(E_F), states/eV/cell: 27.46
Formation energy from raw total energies, kJ/mol of atoms: -138.7

Cell: 5.9246 6.7373 5.8125 Å, 90.00 109.43 90.00°
Space group P2/c (No. 13)
One atom of each set of equivalent atoms:
Hf (0.0000, 0.1230, 0.2500) [2 per cell]
U (0.0000, 0.3739, 0.7500) [2 per cell]
U (0.5000, 0.1214, 0.7500) [2 per cell]
U (0.5000, 0.3737, 0.2500) [2 per cell]
N (0.2292, 0.1180, 0.9963) [4 per cell]
N (0.2368, 0.3634, 0.4906) [4 per cell]

# 9
Material: Hf5UN6
Method: DFT, PBE
State: optimized geometry

Calculated values
M_tot, μB per cell: 0.00
D(E_F), states/eV/cell: 13.81
Formation energy from raw total energies, kJ/mol of atoms: -162.6

Cell: 5.6245 9.7319 5.6270 Å, 90.00 109.34 90.00°
Space group C2/m (No. 12)
One atom of each set of equivalent atoms:
Hf (0.0000, 0.0000, 0.0000) [2 per cell]
Hf (0.0000, 0.1676, 0.5000) [4 per cell]
Hf (0.0000, 0.3295, 0.0000) [4 per cell]
U (0.0000, 0.5000, 0.5000) [2 per cell]
N (0.2464, 0.1685, 0.2451) [8 per cell]
N (0.2479, 0.0000, 0.7549) [4 per cell]

# 10
Material: Hf3UN4
Method: DFT, PBE
State: optimized geometry

Calculated values
M_tot, μB per cell: 1.94
Energy above the lowest structure with this stoichiometry, meV per atom: 0
D(E_F), states/eV/cell: 10.85
Formation energy from raw total energies, kJ/mol of atoms: -160.1

Cell: 3.2235 3.2235 21.8532 Å, 90.00 90.00 120.00°
Space group P6_3/mmc (No. 194)
One atom of each set of equivalent atoms:
Hf (0.0000, 0.0000, 0.0000) [2 per cell]
Hf (0.3333, 0.6667, 0.1213) [4 per cell]
U (0.3333, 0.6667, 0.7500) [2 per cell]
N (0.0000, 0.0000, 0.1765) [4 per cell]
N (0.3333, 0.6667, 0.5585) [4 per cell]

# 11
Material: Hf3U2N4
Method: DFT, PBE
State: optimized geometry

Calculated values
M_tot, μB per cell: 0.00
D(E_F), states/eV/cell: 16.90
Formation energy from raw total energies, kJ/mol of atoms: -136.9

Cell: 10.5405 3.1639 7.9832 Å, 90.00 114.35 90.00°
Space group C2/m (No. 12)
One atom of each set of equivalent atoms:
Hf (0.0000, 0.0000, 0.0000) [2 per cell]
Hf (0.2167, 0.0000, 0.8139) [4 per cell]
U (0.0818, 0.5000, 0.4152) [4 per cell]
N (0.1062, 0.5000, 0.9073) [4 per cell]
N (0.1814, 0.0000, 0.2843) [4 per cell]

# 12
Material: Hf5UN5
Method: DFT, PBE
State: optimized geometry

Calculated values
M_tot, μB per cell: 0.00
D(E_F), states/eV/cell: 9.06
Formation energy from raw total energies, kJ/mol of atoms: -149.9

Cell: 10.2898 4.6312 6.4500 Å, 90.00 108.63 90.00°
Space group C2/m (No. 12)
One atom of each set of equivalent atoms:
Hf (0.0000, 0.0000, 0.0000) [2 per cell]
Hf (0.1694, 0.5000, 0.3363) [4 per cell]
Hf (0.1739, 0.5000, 0.8349) [4 per cell]
U (0.0000, 0.0000, 0.5000) [2 per cell]
N (0.0000, 0.5000, 0.5000) [2 per cell]
N (0.1672, 0.0000, 0.8351) [4 per cell]
N (0.1700, 0.0000, 0.3314) [4 per cell]